1.
DFT (PBE) results for a geometry-optimized Cs2UTlI8 structure.

Cell and atoms, written as POSCAR:
```
Cs2UTlI8
1.0
7.4026 0.0000 0.0000
-2.1424 9.3463 0.0000
-3.6829 -1.5295 9.4942
Cs U Tl I
2 1 1 8
direct
0.1631 0.0448 0.3001 Cs
0.8369 0.9552 0.6999 Cs
0.0000 0.5000 0.0000 U
0.0000 0.5000 0.5000 Tl
0.2060 0.3734 0.8462 I
0.2504 0.7886 0.0157 I
0.2650 0.8533 0.6146 I
0.2923 0.4712 0.2746 I
0.7077 0.5288 0.7254 I
0.7350 0.1467 0.3854 I
0.7496 0.2114 0.9843 I
0.7940 0.6266 0.1538 I
```

Output
SG: P-1 (2)
Uncorrected formation energy, eV/atom: -1.00
E_tot, Ry per atom: -0.2432

2.
DFT (PBE) results for a geometry-optimized LuBiPb structure.

Cell and atoms, written as POSCAR:
```
LuBiPb
1.0
4.0587 0.0000 0.0000
0.0000 4.0587 0.0000
0.0000 0.0000 10.5330
Lu Bi Pb
2 2 2
direct
0.0000 0.0000 0.0000 Lu
0.5000 0.5000 0.5000 Lu
0.0000 0.0000 0.6433 Bi
0.5000 0.5000 0.1433 Bi
0.0000 0.0000 0.3330 Pb
0.5000 0.5000 0.8330 Pb
```

Output
SG: I4mm (107)
Energy above the most stable polymorph in this dataset, eV/atom: 0.000
E_tot, Ry per atom: -0.3171

Q: Which of these has the highest E_tot?
A: Cs2UTlI8

Q: What is the E_tot in the first record?
A: -0.2432 Ry per atom

Please write out number 1 again, unchanged.
DFT (PBE) results for a geometry-optimized Cs2UTlI8 structure.

Cell and atoms, written as POSCAR:
```
Cs2UTlI8
1.0
7.4026 0.0000 0.0000
-2.1424 9.3463 0.0000
-3.6829 -1.5295 9.4942
Cs U Tl I
2 1 1 8
direct
0.1631 0.0448 0.3001 Cs
0.8369 0.9552 0.6999 Cs
0.0000 0.5000 0.0000 U
0.0000 0.5000 0.5000 Tl
0.2060 0.3734 0.8462 I
0.2504 0.7886 0.0157 I
0.2650 0.8533 0.6146 I
0.2923 0.4712 0.2746 I
0.7077 0.5288 0.7254 I
0.7350 0.1467 0.3854 I
0.7496 0.2114 0.9843 I
0.7940 0.6266 0.1538 I
```

Output
SG: P-1 (2)
Uncorrected formation energy, eV/atom: -1.00
E_tot, Ry per atom: -0.2432

Q: Which of these has the highest E_tot?
A: Cs2UTlI8